NaGaTcH2 at its PBEsol-relaxed geometry. Source: Alexandria, functional meta-GGA SCAN.

Results
- VASP energy: -57.367 eV/cell
- Crystal system: tetragonal
- Space group: No. 123

Cell and atoms, written as CIF:
```
data_NaGaTcH2
_cell_length_a 3.632
_cell_length_b 3.632
_cell_length_c 5.406
_cell_angle_alpha 90.00
_cell_angle_beta 90.00
_cell_angle_gamma 90.00
_space_group_name_H-M_alt 'P 1'
_space_group_IT_number 1
loop_
_space_group_symop_operation_xyz
'x,y,z'
loop_
_atom_site_label
_atom_site_type_symbol
_atom_site_fract_x
_atom_site_fract_y
_atom_site_fract_z
_atom_site_occupancy
H1 H 0.000 0.500 0.000 1
H2 H 0.500 0.000 0.000 1
Na1 Na 0.000 0.000 0.000 1
Ga1 Ga 0.000 0.000 0.500 1
Tc1 Tc 0.500 0.500 0.500 1
```

=====

MnSe at its PBEsol-relaxed geometry. Source: Alexandria, functional meta-GGA SCAN.

Results
- VASP energy: -78.738 eV/cell
- Crystal system: orthorhombic
- ΔE_f (raw): -0.518 eV/atom
- Space group: No. 63

Cell and atoms, written as CIF:
```
data_MnSe
_cell_length_a 3.220
_cell_length_b 3.223
_cell_length_c 6.888
_cell_angle_alpha 90.00
_cell_angle_beta 103.52
_cell_angle_gamma 90.00
_space_group_name_H-M_alt 'P 1'
_space_group_IT_number 1
loop_
_space_group_symop_operation_xyz
'x,y,z'
loop_
_atom_site_label
_atom_site_type_symbol
_atom_site_fract_x
_atom_site_fract_y
_atom_site_fract_z
_atom_site_occupancy
Mn1 Mn 0.195 0.750 0.390 1
Mn2 Mn 0.805 0.250 0.610 1
Se1 Se 0.620 0.250 0.240 1
Se2 Se 0.380 0.750 0.760 1
```

=====

BaZnGe2Bi at its PBEsol-relaxed geometry. Source: Alexandria, functional meta-GGA SCAN.

Results
- VASP energy: -168.148 eV/cell
- Crystal system: tetragonal
- DFT formation energy: 7.72 kcal/mol of atoms
- Space group: No. 123

Cell and atoms, written as CIF:
```
data_BaZnGe2Bi
_cell_length_a 5.325
_cell_length_b 5.479
_cell_length_c 5.479
_cell_angle_alpha 90.00
_cell_angle_beta 90.00
_cell_angle_gamma 90.00
_space_group_name_H-M_alt 'P 1'
_space_group_IT_number 1
loop_
_space_group_symop_operation_xyz
'x,y,z'
loop_
_atom_site_label
_atom_site_type_symbol
_atom_site_fract_x
_atom_site_fract_y
_atom_site_fract_z
_atom_site_occupancy
Ba1 Ba 0.500 0.500 0.500 1
Bi1 Bi 0.000 0.000 0.000 1
Ge1 Ge 0.000 0.000 0.500 1
Ge2 Ge 0.000 0.500 0.000 1
Zn1 Zn 0.500 0.000 0.000 1
```

=====

SbS2NF6 at its PBEsol-relaxed geometry. Source: Alexandria, functional meta-GGA SCAN.

Results
- VASP energy: -102.940 eV/cell
- Crystal system: monoclinic
- ΔE_f (raw): -1.589 eV/atom
- Space group: No. 12

Cell and atoms, written as CIF:
```
data_SbS2NF6
_cell_length_a 5.383
_cell_length_b 5.772
_cell_length_c 5.772
_cell_angle_alpha 111.17
_cell_angle_beta 91.43
_cell_angle_gamma 88.57
_space_group_name_H-M_alt 'P 1'
_space_group_IT_number 1
loop_
_space_group_symop_operation_xyz
'x,y,z'
loop_
_atom_site_label
_atom_site_type_symbol
_atom_site_fract_x
_atom_site_fract_y
_atom_site_fract_z
_atom_site_occupancy
S1 S 0.621 0.357 0.643 1
S2 S 0.379 0.643 0.357 1
F1 F 0.148 0.088 0.324 1
F2 F 0.713 0.887 0.113 1
F3 F 0.287 0.113 0.887 1
F4 F 0.852 0.324 0.088 1
F5 F 0.852 0.912 0.676 1
F6 F 0.148 0.676 0.912 1
N1 N 0.500 0.500 0.500 1
Sb1 Sb 0.000 0.000 0.000 1
```

=====

TlSnTeI2 at its PBEsol-relaxed geometry. Source: Alexandria, functional meta-GGA SCAN.

Results
- Distance to the lowest polymorph of the same formula: 0.00 kJ/mol of atoms
- VASP energy: -219.920 eV/cell
- Crystal system: tetragonal
- ΔE_f (raw): -0.181 eV/atom
- Space group: No. 123

Cell and atoms, written as CIF:
```
data_TlSnTeI2
_cell_length_a 5.648
_cell_length_b 5.973
_cell_length_c 5.973
_cell_angle_alpha 90.00
_cell_angle_beta 90.00
_cell_angle_gamma 90.00
_space_group_name_H-M_alt 'P 1'
_space_group_IT_number 1
loop_
_space_group_symop_operation_xyz
'x,y,z'
loop_
_atom_site_label
_atom_site_type_symbol
_atom_site_fract_x
_atom_site_fract_y
_atom_site_fract_z
_atom_site_occupancy
Sn1 Sn 0.000 0.000 0.000 1
I1 I 0.000 0.500 0.000 1
I2 I 0.000 0.000 0.500 1
Te1 Te 0.500 0.000 0.000 1
Tl1 Tl 0.500 0.500 0.500 1
```

=====

Ca2ZnHg at its PBEsol-relaxed geometry. Source: Alexandria, functional meta-GGA SCAN.

Results
- Distance to the lowest polymorph of the same formula: 15.99 kJ/mol of atoms
- VASP energy: -102.373 eV/cell
- Crystal system: cubic
- DFT formation energy: -7.87 kcal/mol of atoms
- Space group: No. 216

Cell and atoms, written as CIF:
```
data_Ca2ZnHg
_cell_length_a 4.992
_cell_length_b 4.992
_cell_length_c 4.992
_cell_angle_alpha 60.00
_cell_angle_beta 60.00
_cell_angle_gamma 60.00
_space_group_name_H-M_alt 'P 1'
_space_group_IT_number 1
loop_
_space_group_symop_operation_xyz
'x,y,z'
loop_
_atom_site_label
_atom_site_type_symbol
_atom_site_fract_x
_atom_site_fract_y
_atom_site_fract_z
_atom_site_occupancy
Zn1 Zn 0.250 0.250 0.250 1
Ca1 Ca 0.750 0.750 0.750 1
Ca2 Ca 0.000 0.000 0.000 1
Hg1 Hg 0.500 0.500 0.500 1
```

=====

ScTaSe2 at its PBEsol-relaxed geometry. Source: Alexandria, functional meta-GGA SCAN.

Results
- Distance to the lowest polymorph of the same formula: 0.00 kJ/mol of atoms
- VASP energy: -124.192 eV/cell
- Crystal system: monoclinic
- ΔE_f (raw): -0.804 eV/atom
- Space group: No. 8

Cell and atoms, written as CIF:
```
data_ScTaSe2
_cell_length_a 3.279
_cell_length_b 4.643
_cell_length_c 4.987
_cell_angle_alpha 100.10
_cell_angle_beta 109.19
_cell_angle_gamma 90.00
_space_group_name_H-M_alt 'P 1'
_space_group_IT_number 1
loop_
_space_group_symop_operation_xyz
'x,y,z'
loop_
_atom_site_label
_atom_site_type_symbol
_atom_site_fract_x
_atom_site_fract_y
_atom_site_fract_z
_atom_site_occupancy
Sc1 Sc 0.742 0.178 0.483 1
Ta1 Ta 0.511 0.572 0.021 1
Se1 Se 0.009 0.079 0.019 1
Se2 Se 0.238 0.672 0.477 1
```

=====

Ba3MgO at its PBEsol-relaxed geometry. Source: Alexandria, functional meta-GGA SCAN.

Results
- VASP energy: -135.322 eV/cell
- Crystal system: cubic
- ΔE_f (raw): -1.093 eV/atom
- Space group: No. 221

Cell and atoms, written as CIF:
```
data_Ba3MgO
_cell_length_a 5.536
_cell_length_b 5.536
_cell_length_c 5.536
_cell_angle_alpha 90.00
_cell_angle_beta 90.00
_cell_angle_gamma 90.00
_space_group_name_H-M_alt 'P 1'
_space_group_IT_number 1
loop_
_space_group_symop_operation_xyz
'x,y,z'
loop_
_atom_site_label
_atom_site_type_symbol
_atom_site_fract_x
_atom_site_fract_y
_atom_site_fract_z
_atom_site_occupancy
O1 O 0.000 0.000 0.000 1
Ba1 Ba 0.000 0.000 0.500 1
Ba2 Ba 0.000 0.500 0.000 1
Ba3 Ba 0.500 0.000 0.000 1
Mg1 Mg 0.500 0.500 0.500 1
```

=====

CaSi2GeMo at its PBEsol-relaxed geometry. Source: Alexandria, functional meta-GGA SCAN.

Results
- VASP energy: -83.291 eV/cell
- Crystal system: tetragonal
- ΔE_f (raw): 0.075 eV/atom
- Space group: No. 123

Cell and atoms, written as CIF:
```
data_CaSi2GeMo
_cell_length_a 4.718
_cell_length_b 4.718
_cell_length_c 4.832
_cell_angle_alpha 90.00
_cell_angle_beta 90.00
_cell_angle_gamma 90.00
_space_group_name_H-M_alt 'P 1'
_space_group_IT_number 1
loop_
_space_group_symop_operation_xyz
'x,y,z'
loop_
_atom_site_label
_atom_site_type_symbol
_atom_site_fract_x
_atom_site_fract_y
_atom_site_fract_z
_atom_site_occupancy
Si1 Si 0.000 0.500 0.000 1
Si2 Si 0.500 0.000 0.000 1
Mo1 Mo 0.000 0.000 0.000 1
Ge1 Ge 0.000 0.000 0.500 1
Ca1 Ca 0.500 0.500 0.500 1
```

=====

MoI2Br at its PBEsol-relaxed geometry. Source: Alexandria, functional meta-GGA SCAN.

Results
- VASP energy: -255.549 eV/cell
- Crystal system: tetragonal
- ΔE_f (raw): 0.013 eV/atom
- Space group: No. 122

Cell and atoms, written as CIF:
```
data_MoI2Br
_cell_length_a 5.336
_cell_length_b 7.414
_cell_length_c 7.414
_cell_angle_alpha 82.56
_cell_angle_beta 68.91
_cell_angle_gamma 68.91
_space_group_name_H-M_alt 'P 1'
_space_group_IT_number 1
loop_
_space_group_symop_operation_xyz
'x,y,z'
loop_
_atom_site_label
_atom_site_type_symbol
_atom_site_fract_x
_atom_site_fract_y
_atom_site_fract_z
_atom_site_occupancy
Mo1 Mo 0.000 0.000 0.000 1
Mo2 Mo 0.750 0.500 0.500 1
I1 I 0.375 0.635 0.865 1
I2 I 0.875 0.365 0.135 1
I3 I 0.990 0.135 0.635 1
I4 I 0.760 0.865 0.365 1
Br1 Br 0.500 0.000 0.000 1
Br2 Br 0.250 0.500 0.500 1
```

=====

CdWOF2 at its PBEsol-relaxed geometry. Source: Alexandria, functional meta-GGA SCAN.

Results
- Distance to the lowest polymorph of the same formula: 0.00 kJ/mol of atoms
- VASP energy: -119.741 eV/cell
- Crystal system: tetragonal
- ΔE_f (raw): -1.265 eV/atom
- Space group: No. 123

Cell and atoms, written as CIF:
```
data_CdWOF2
_cell_length_a 3.829
_cell_length_b 4.253
_cell_length_c 4.253
_cell_angle_alpha 90.00
_cell_angle_beta 90.00
_cell_angle_gamma 90.00
_space_group_name_H-M_alt 'P 1'
_space_group_IT_number 1
loop_
_space_group_symop_operation_xyz
'x,y,z'
loop_
_atom_site_label
_atom_site_type_symbol
_atom_site_fract_x
_atom_site_fract_y
_atom_site_fract_z
_atom_site_occupancy
F1 F 0.000 0.000 0.500 1
F2 F 0.000 0.500 0.000 1
O1 O 0.500 0.000 0.000 1
Cd1 Cd 0.500 0.500 0.500 1
W1 W 0.000 0.000 0.000 1
```

=====

SrMn3O at its PBEsol-relaxed geometry. Source: Alexandria, functional meta-GGA SCAN.

Results
- VASP energy: -83.765 eV/cell
- Crystal system: cubic
- ΔE_f (raw): -0.099 eV/atom
- Space group: No. 221

Cell and atoms, written as CIF:
```
data_SrMn3O
_cell_length_a 4.210
_cell_length_b 4.210
_cell_length_c 4.210
_cell_angle_alpha 90.00
_cell_angle_beta 90.00
_cell_angle_gamma 90.00
_space_group_name_H-M_alt 'P 1'
_space_group_IT_number 1
loop_
_space_group_symop_operation_xyz
'x,y,z'
loop_
_atom_site_label
_atom_site_type_symbol
_atom_site_fract_x
_atom_site_fract_y
_atom_site_fract_z
_atom_site_occupancy
Mn1 Mn 0.000 0.500 0.000 1
Mn2 Mn 0.000 0.000 0.500 1
Mn3 Mn 0.500 0.000 0.000 1
Sr1 Sr 0.500 0.500 0.500 1
O1 O 0.000 0.000 0.000 1
```